# Ce3Si6Pd2Au PBE-GGA optimized geometry
data_Ce3Si6Pd2Au
_cell_length_a 5.7328
_cell_length_b 5.7328
_cell_length_c 8.2905
_cell_angle_alpha 90.00
_cell_angle_beta 90.00
_cell_angle_gamma 120.00
_symmetry_space_group_name_H-M 'P -3 m 1'
_symmetry_Int_Tables_number 164
_symmetry_space_group_name_Hall '-P 3 2"'
loop_
_atom_site_label
_atom_site_fract_x
_atom_site_fract_y
_atom_site_fract_z
Ce1 0.0000 0.0000 0.0000
Ce2 0.3333 0.6667 0.6146
Si1 0.1902 0.3803 0.2780
Pd1 0.3333 0.6667 0.0286
Au1 0.0000 0.0000 0.5000
# Energy relative to the elements, uncorrected ... -419.5 meV/atom
# Final energy ... -5.753 eV/atom

---

# Ce2Si3Pd4Au PBE-GGA optimized geometry
data_Ce2Si3Pd4Au
_cell_length_a 4.1067
_cell_length_b 4.1067
_cell_length_c 10.9860
_cell_angle_alpha 90.00
_cell_angle_beta 90.00
_cell_angle_gamma 90.00
_symmetry_space_group_name_H-M 'P -4 m 2'
_symmetry_Int_Tables_number 115
_symmetry_space_group_name_Hall 'P -4 -2'
loop_
_atom_site_label
_atom_site_fract_x
_atom_site_fract_y
_atom_site_fract_z
Ce1 0.0000 0.5000 0.2499
Si1 0.0000 0.0000 0.0000
Si2 0.0000 0.5000 0.6225
Pd1 0.0000 0.0000 0.5000
Pd2 0.0000 0.5000 0.8389
Pd3 0.5000 0.5000 0.5000
Au1 0.5000 0.5000 0.0000
# Energy relative to the elements, uncorrected ... -755.8 meV/atom
# Final energy ... -5.974 eV/atom

---

# CeSmPdAu PBE-GGA optimized geometry
data_CeSmPdAu
_cell_length_a 7.2765
_cell_length_b 7.2765
_cell_length_c 7.2765
_cell_angle_alpha 90.00
_cell_angle_beta 90.00
_cell_angle_gamma 90.00
_symmetry_space_group_name_H-M 'F -4 3 m'
_symmetry_Int_Tables_number 216
_symmetry_space_group_name_Hall 'F -4 2 3'
loop_
_atom_site_label
_atom_site_fract_x
_atom_site_fract_y
_atom_site_fract_z
Ce1 0.0000 0.0000 0.0000
Sm1 0.0000 0.0000 0.5000
Pd1 0.2500 0.2500 0.2500
Au1 0.2500 0.2500 0.7500
# Final energy ... -5.456 eV/atom
# Excess energy over the best structure of this formula in the dataset ... 0.073 eV per atom
# E_form ... -675 meV per atom

---

# CeSmPdAu PBE-GGA optimized geometry
data_CeSmPdAu
_cell_length_a 4.6113
_cell_length_b 3.8392
_cell_length_c 11.2136
_cell_angle_alpha 90.00
_cell_angle_beta 90.00
_cell_angle_gamma 90.00
_symmetry_space_group_name_H-M 'A m m 2'
_symmetry_Int_Tables_number 38
_symmetry_space_group_name_Hall 'A 2 -2'
loop_
_atom_site_label
_atom_site_fract_x
_atom_site_fract_y
_atom_site_fract_z
Ce1 0.0000 0.0000 0.0000
Sm1 0.5000 0.0000 0.2767
Pd1 0.5000 0.0000 0.5455
Au1 0.0000 0.0000 0.7212
# Final energy ... -5.529 eV/atom
# Excess energy over the best structure of this formula in the dataset ... 0.000 eV per atom
# E_form ... -748 meV per atom

---

| no. | V (Å³ per cell) |
| --- | --- |
| 1 | 236.0 |
| 2 | 185.3 |
| 3 | 385.3 |
| 4 | 198.5 |